CeHo9Tm2 | GGA-PBE | relaxed

Properties
Total DFT energy (no corrections): -55.62 eV per cell
Fermi-level density of states: 1.52 states/eV per atom
DFT formation energy: 0.45 eV per formula unit

Cell: 4.974 4.974 14.936 Å, 90.00 90.00 90.00°
Element x y z (fractional)
Ce 0.000 0.000 0.000
Ho 0.000 0.500 0.166
Ho 0.000 0.500 0.500
Ho 0.000 0.500 0.834
Ho 0.500 0.000 0.166
Ho 0.500 0.000 0.500
Ho 0.500 0.000 0.834
Ho 0.500 0.500 0.000
Ho 0.500 0.500 0.335
Ho 0.500 0.500 0.665
Tm 0.000 0.000 0.333
Tm 0.000 0.000 0.667